K2SiW | PBE | optimized geometry

abc: 6.4366 6.4366 2.8824
angles: 90.00 90.00 130.49
Fractional positions:
K (0.0000, 0.0000, 0.0000)
K (0.5000, 0.5000, 0.0000)
Si (0.5000, 0.0000, 0.5000)
W (0.0000, 0.5000, 0.5000)

## Properties
Calculated volume ... 22.70 A^3/atom
Crystal system ... orthorhombic
ΔE_f (raw) ... 4.89 eV per formula unit